<w>
12
Lattice="8.578 -2.803 0.000 8.578 2.803 0.000 -5.778 0.000 8.257" Properties=species:S:1:pos:R:3 comment="Pr2Dy3Er, optimized geometry, DFT PBE" sg="C2/m (12)" dos_at_fermi_per_ev_cell=19.0 pbc="T T T"
Pr -1.932 0.000 2.960
Pr 0.998 0.000 5.184
Pr 10.380 0.000 3.073
Pr 13.311 0.000 5.297
Dy 1.042 0.000 1.288
Dy -1.766 0.000 7.650
Dy 7.143 0.000 0.883
Dy 4.236 0.000 7.374
Dy 13.144 0.000 0.608
Dy 10.336 0.000 6.970
Er 4.209 0.000 2.989
Er 7.169 0.000 5.269

---

<x>
12
Lattice="5.178 -5.750 0.000 5.178 5.750 0.000 -0.060 0.000 6.701" Properties=species:S:1:pos:R:3 comment="Pr2Dy3Er, optimized geometry, DFT PBE" sg="C2/c (15)" dos_at_fermi_per_ev_cell=19.8 pbc="T T T"
Pr 3.396 3.043 5.039
Pr 6.870 3.043 5.012
Pr 3.426 -3.043 1.689
Pr 6.900 -3.043 1.662
Dy 5.163 2.697 1.675
Dy 3.419 0.012 3.353
Dy 3.449 -0.012 0.002
Dy 6.848 0.012 6.698
Dy 6.878 -0.012 3.348
Dy 5.133 -2.697 5.025
Er 0.000 0.000 0.000
Er -0.030 0.000 3.350

---

Tell me which of them is the least stable. Sure, it is <x>.

---

<w>
18
Lattice="6.404 -7.105 0.000 6.404 7.105 0.000 -1.546 0.000 6.375" Properties=species:S:1:pos:R:3 comment="Pr2DyEr6, optimized geometry, DFT PBE" sg="C2/c (15)" dos_at_fermi_per_ev_cell=23.5 pbc="T T T"
Pr 1.263 0.380 2.391
Pr 0.490 -0.380 5.578
Pr 10.772 0.380 0.796
Pr 9.999 -0.380 3.984
Dy 5.245 1.667 4.781
Dy 6.017 -1.667 1.594
Er 1.951 2.867 4.669
Er 4.414 4.413 6.358
Er 6.075 4.413 3.204
Er 4.436 1.281 1.183
Er 2.724 -2.867 1.482
Er 3.663 -1.281 4.370
Er 7.599 1.281 2.004
Er 8.539 2.867 4.893
Er 6.826 -1.281 5.192
Er 5.187 -4.413 3.170
Er 6.848 -4.413 0.017
Er 9.311 -2.867 1.706

---

<x>
18
Lattice="6.683 -5.858 0.000 6.683 5.858 0.000 -5.282 0.000 7.371" Properties=species:S:1:pos:R:3 comment="Pr2DyEr6, optimized geometry, DFT PBE" sg="C2/c (15)" dos_at_fermi_per_ev_cell=25.0 pbc="T T T"
Pr 0.260 1.085 3.193
Pr -2.381 -1.085 6.878
Pr 10.466 1.085 0.493
Pr 7.825 -1.085 4.179
Dy 2.722 2.015 5.529
Dy 5.363 -2.015 1.843
Er 6.016 4.320 0.302
Er -0.875 1.926 6.339
Er 4.709 4.320 3.384
Er 3.716 1.060 2.318
Er 1.765 -1.926 2.653
Er 1.076 -1.060 6.004
Er 7.009 1.060 1.368
Er 6.319 1.926 4.718
Er 4.368 -1.060 5.053
Er 3.375 -4.320 3.988
Er 8.960 -1.926 1.033
Er 2.068 -4.320 7.069

---

Tell me which of them is the least stable. Sure, it is <w>.

---

<w>
13
Lattice="-3.324 5.560 5.760 3.324 -5.560 5.760 3.324 5.560 -5.760" Properties=species:S:1:pos:R:3 comment="PrDy7Er5, optimized geometry, DFT PBE" sg="Imm2 (44)" dos_at_fermi_per_ev_cell=25.7 pbc="T T T"
Pr 0.000 0.000 0.000
Dy 3.324 1.891 0.605
Dy 0.000 0.000 3.479
Dy 0.000 3.648 0.588
Dy 0.000 0.000 7.009
Dy 0.000 7.472 0.588
Dy 0.000 5.560 3.422
Dy 0.000 3.669 6.364
Er 1.565 2.563 -2.295
Er 5.084 2.563 -2.295
Er 3.324 0.000 3.506
Er -1.759 2.997 3.465
Er 1.759 2.997 3.465

---

<x>
13
Lattice="-2.674 6.201 6.207 2.674 -6.201 6.207 2.674 6.201 -6.207" Properties=species:S:1:pos:R:3 comment="PrDy7Er5, optimized geometry, DFT PBE" sg="Imm2 (44)" dos_at_fermi_per_ev_cell=23.9 pbc="T T T"
Pr 0.000 0.000 0.000
Dy 2.674 2.612 -0.008
Dy 0.000 0.000 4.685
Dy 2.674 -1.510 6.198
Dy 0.000 0.000 7.707
Dy 2.674 1.510 6.198
Dy 0.000 6.201 3.581
Dy 0.000 3.589 6.199
Er 0.000 9.968 2.433
Er 2.674 0.000 2.609
Er 0.000 2.435 2.433
Er 2.674 3.759 3.756
Er 0.000 2.442 9.963

---

Tell me which of them is the least stable. Sure, it is <w>.

---

<w>
12
Lattice="6.174 0.000 0.000 -0.001 7.130 0.000 -2.059 0.000 8.530" Properties=species:S:1:pos:R:3 comment="PrDy4Er7, optimized geometry, DFT PBE" sg="P-1 (2)" dos_at_fermi_per_ev_cell=16.0 pbc="T T T"
Pr 0.000 0.000 0.000
Dy -0.005 3.568 5.681
Dy 1.030 1.787 2.866
Dy 3.084 5.343 5.664
Dy 4.118 3.562 2.849
Er -0.001 3.565 0.000
Er 0.003 0.002 5.675
Er 1.030 5.339 2.861
Er 1.030 1.785 8.530
Er 3.084 5.345 0.000
Er 3.084 1.791 5.669
Er 4.110 7.128 2.855

---

<x>
12
Lattice="6.023 -2.918 0.000 6.023 2.918 0.000 -5.887 0.000 11.093" Properties=species:S:1:pos:R:3 comment="PrDy4Er7, optimized geometry, DFT PBE" sg="C2/m (12)" dos_at_fermi_per_ev_cell=20.7 pbc="T T T"
Pr 0.000 0.000 0.000
Dy -1.031 0.000 7.566
Dy 3.108 0.000 2.500
Dy 3.051 0.000 8.594
Dy 7.190 0.000 3.527
Er -1.223 0.000 3.657
Er -2.888 0.000 10.234
Er 1.475 0.000 5.512
Er 6.023 0.000 0.000
Er 4.684 0.000 5.582
Er 9.047 0.000 0.860
Er 7.382 0.000 7.436

---

Tell me which of them is the least stable. Sure, it is <x>.

---

<w>
18
Lattice="8.398 -3.967 0.000 8.398 3.967 0.000 -7.921 0.000 9.238" Properties=species:S:1:pos:R:3 comment="PrDy3Er5, optimized geometry, DFT PBE" sg="C2/m (12)" dos_at_fermi_per_ev_cell=27.9 pbc="T T T"
Pr 2.936 0.000 1.225
Pr 5.937 0.000 8.012
Dy 0.000 0.000 0.000
Dy 0.179 0.000 3.151
Dy 0.954 0.000 6.331
Dy 4.437 0.000 4.619
Dy 7.920 0.000 2.907
Dy 8.695 0.000 6.087
Er -2.430 0.000 5.227
Er 5.575 2.335 2.024
Er 3.299 2.335 7.214
Er -2.329 0.000 8.572
Er 8.398 1.418 0.000
Er 8.398 -1.418 0.000
Er 11.203 0.000 0.666
Er 5.575 -2.335 2.024
Er 3.299 -2.335 7.214
Er 11.304 0.000 4.011

---

<x>
18
Lattice="8.628 -3.072 0.000 8.628 3.072 0.000 -0.124 0.000 11.179" Properties=species:S:1:pos:R:3 comment="PrDy3Er5, optimized geometry, DFT PBE" sg="C2/c (15)" dos_at_fermi_per_ev_cell=26.2 pbc="T T T"
Pr 8.535 2.278 8.385
Pr 8.597 -2.278 2.795
Dy 0.000 0.000 0.000
Dy -0.062 0.000 5.590
Dy 5.659 1.355 10.237
Dy 11.410 1.355 6.532
Dy 5.721 -1.355 4.648
Dy 11.472 -1.355 0.942
Er 5.609 1.815 2.818
Er 5.690 1.402 6.560
Er 11.585 1.815 2.772
Er 8.597 0.622 2.795
Er 11.380 1.402 10.209
Er 5.752 -1.402 0.971
Er 8.535 -0.622 8.385
Er 5.547 -1.815 8.407
Er 11.442 -1.402 4.619
Er 11.522 -1.815 8.362

---

Tell me which of them is the least stable. Sure, it is <w>.